No. 1
Computed, not measured: TlSi2Pb at its PBEsol-relaxed geometry at the SCAN level of DFT. Values from VASP.

Cell and atoms, written as Quantum ESPRESSO input:
```
&SYSTEM
  ibrav = 0, nat = 4, ntyp = 3
/
ATOMIC_SPECIES
Pb 207.20 Pb.upf
Si 28.09 Si.upf
Tl 204.38 Tl.upf
CELL_PARAMETERS angstrom
-2.6635 2.4904 0.4392
-3.1131 -2.9780 -1.9923
0.4768 -0.5206 5.8431
ATOMIC_POSITIONS angstrom
Pb -2.8469 -1.0058 3.7951
Si -0.2015 -1.1560 5.3327
Si -2.0886 0.2652 1.1868
Tl -2.5606 -2.8704 0.7478
```

Summary:
- E_form (uncorrected): 0.3969 eV/atom
- Energy above the lowest structure with this stoichiometry: 0.0000 eV per atom
- DOS(E_F): 1.44 states/eV per cell
- Energy: -166.6 eV/f.u.

***

No. 2
Computed, not measured: SrLi2Mn at its PBEsol-relaxed geometry at the SCAN level of DFT. Values from VASP.

Cell and atoms, written as Quantum ESPRESSO input:
```
&SYSTEM
  ibrav = 0, nat = 4, ntyp = 3
/
ATOMIC_SPECIES
Li 6.94 Li.upf
Mn 54.94 Mn.upf
Sr 87.62 Sr.upf
CELL_PARAMETERS angstrom
-3.5965 0.0904 -0.2814
-0.0797 -3.6050 -0.1394
-0.5892 -0.2747 7.4409
ATOMIC_POSITIONS angstrom
Li -0.5498 -0.2563 6.9441
Li -2.2698 -1.9585 5.2413
Mn -0.3296 -0.1536 4.1620
Sr -2.0000 -1.8328 1.8342
```

Summary:
- Energy above the lowest structure with this stoichiometry: 0.0000 eV per atom
- DOS(E_F): 3.64 states/eV per cell
- Formation energy from the elements: 0.744 eV/f.u.
- Energy: -44.6 eV/f.u.

***

No. 3
Computed, not measured: NaIr2PdSe at its PBEsol-relaxed geometry at the SCAN level of DFT. Values from VASP.

Cell and atoms, written as Quantum ESPRESSO input:
```
&SYSTEM
  ibrav = 0, nat = 5, ntyp = 4
/
ATOMIC_SPECIES
Na 22.99 Na.upf
Ir 192.22 Ir.upf
Se 78.96 Se.upf
Pd 106.42 Pd.upf
CELL_PARAMETERS angstrom
-0.2945 3.1344 -3.0072
-3.4627 -2.2162 -1.9708
-2.9497 2.2585 2.6429
ATOMIC_POSITIONS angstrom
Na 0.0000 0.0000 0.0000
Ir -1.4748 1.1292 1.3214
Ir -1.7314 -1.1081 -0.9854
Se -3.3534 1.5884 -1.1676
Pd -0.1472 1.5672 -1.5036
```

Summary:
- E_form (uncorrected): 2.2112 eV/atom
- DOS(E_F): 4.23 states/eV per cell
- Energy: -188.2 eV/f.u.

***

No. 4
Computed, not measured: KV2FeAg2O8 at its PBEsol-relaxed geometry at the SCAN level of DFT. Values from VASP.

Cell and atoms, written as Quantum ESPRESSO input:
```
&SYSTEM
  ibrav = 0, nat = 14, ntyp = 5
/
ATOMIC_SPECIES
K 39.10 K.upf
V 50.94 V.upf
Fe 55.84 Fe.upf
Ag 107.87 Ag.upf
O 16.00 O.upf
CELL_PARAMETERS angstrom
5.2996 0.0000 0.0000
-2.6498 4.5896 0.0000
0.0000 0.0000 7.2554
ATOMIC_POSITIONS angstrom
K 0.0000 0.0000 0.0000
V 2.6498 1.5299 5.2472
V 0.0000 3.0597 2.0083
Fe 0.0000 0.0000 3.6277
Ag 2.6498 1.5299 1.8947
Ag 0.0000 3.0597 5.3607
O 2.6498 1.5299 6.9186
O 0.0000 3.0597 0.3368
O 3.1134 3.1304 4.7092
O 1.0319 1.1311 4.7092
O 3.8041 0.3281 4.7092
O -0.4636 1.4592 2.5462
O 1.6179 3.4585 2.5462
O -1.1543 4.2614 2.5462
```

Summary:
- E_form (uncorrected): -1.8670 eV/atom
- Energy: -200.2 eV/f.u.

***

No. 5
Computed, not measured: Sm3Sn13Rh4 at its PBEsol-relaxed geometry at the SCAN level of DFT. Values from VASP.

Cell and atoms, written as Quantum ESPRESSO input:
```
&SYSTEM
  ibrav = 0, nat = 40, ntyp = 3
/
ATOMIC_SPECIES
Sm 150.36 Sm.upf
Sn 118.71 Sn.upf
Rh 102.91 Rh.upf
CELL_PARAMETERS angstrom
9.6205 0.0000 0.0000
0.0000 9.6205 0.0000
0.0000 0.0000 9.6205
ATOMIC_POSITIONS angstrom
Sm 4.8102 0.0000 7.2154
Sm 2.4051 4.8102 0.0000
Sm 4.8102 0.0000 2.4051
Sm 7.2154 4.8102 0.0000
Sm 0.0000 2.4051 4.8102
Sm 0.0000 7.2154 4.8102
Sn 0.0000 2.9636 8.1497
Sn 8.1497 0.0000 6.6569
Sn 6.6569 8.1497 0.0000
Sn 2.9636 8.1497 0.0000
Sn 3.3394 7.7738 4.8102
Sn 6.2811 1.8466 4.8102
Sn 0.0000 0.0000 0.0000
Sn 0.0000 6.6569 8.1497
Sn 4.8102 3.3394 1.8466
Sn 4.8102 6.2811 7.7738
Sn 1.4708 0.0000 2.9636
Sn 7.7738 4.8102 6.2811
Sn 2.9636 1.4708 0.0000
Sn 4.8102 3.3394 7.7738
Sn 1.8466 4.8102 6.2811
Sn 1.4708 0.0000 6.6569
Sn 0.0000 6.6569 1.4708
Sn 3.3394 1.8466 4.8102
Sn 4.8102 6.2811 1.8466
Sn 4.8102 4.8102 4.8102
Sn 7.7738 4.8102 3.3394
Sn 6.6569 1.4708 0.0000
Sn 8.1497 0.0000 2.9636
Sn 6.2811 7.7738 4.8102
Sn 0.0000 2.9636 1.4708
Sn 1.8466 4.8102 3.3394
Rh 7.2154 7.2154 2.4051
Rh 2.4051 7.2154 2.4051
Rh 7.2154 2.4051 2.4051
Rh 2.4051 2.4051 7.2154
Rh 7.2154 2.4051 7.2154
Rh 7.2154 7.2154 7.2154
Rh 2.4051 2.4051 2.4051
Rh 2.4051 7.2154 7.2154
```

Summary:
- DOS(E_F): 12.26 states/eV per cell
- Formation energy from the elements: -12.258 eV/f.u.
- Energy: -747.6 eV/f.u.

***

No. 6
Computed, not measured: V2CrB2 at its PBEsol-relaxed geometry at the SCAN level of DFT. Values from VASP.

Cell and atoms, written as Quantum ESPRESSO input:
```
&SYSTEM
  ibrav = 0, nat = 10, ntyp = 3
/
ATOMIC_SPECIES
Cr 52.00 Cr.upf
B 10.81 B.upf
V 50.94 V.upf
CELL_PARAMETERS angstrom
2.9667 0.0000 0.0000
0.0000 5.5826 0.0000
0.0000 0.0000 5.5826
ATOMIC_POSITIONS angstrom
Cr 0.0000 0.0000 0.0000
Cr 0.0000 2.7913 2.7913
B 0.0000 2.1567 4.9480
B 0.0000 4.9480 3.4259
B 0.0000 3.4259 0.6346
B 0.0000 0.6346 2.1567
V 1.4834 0.9965 3.7877
V 1.4834 3.7877 4.5861
V 1.4834 4.5861 1.7948
V 1.4834 1.7948 0.9965
```

Summary:
- DOS(E_F): 3.48 states/eV per cell
- Formation energy from the elements: -3.704 eV/f.u.
- Energy: -71.9 eV/f.u.

***

No. 7
Computed, not measured: CuPt at its PBEsol-relaxed geometry at the SCAN level of DFT. Values from VASP.

Cell and atoms, written as Quantum ESPRESSO input:
```
&SYSTEM
  ibrav = 0, nat = 4, ntyp = 2
/
ATOMIC_SPECIES
Cu 63.55 Cu.upf
Pt 195.08 Pt.upf
CELL_PARAMETERS angstrom
2.7303 0.0000 0.0000
0.0000 4.4064 0.0000
0.0000 0.0000 4.4830
ATOMIC_POSITIONS angstrom
Cu 0.0000 1.9395 0.0000
Cu 1.3651 2.4669 2.2415
Pt 0.0000 0.2618 2.2415
Pt 1.3651 4.1446 0.0000
```

Summary:
- DOS(E_F): 2.14 states/eV per cell
- Formation energy from the elements: -0.226 eV/f.u.
- Energy: -85.6 eV/f.u.

***

No. 8
Computed, not measured: NaLiNiPO4F at its PBEsol-relaxed geometry at the SCAN level of DFT. Values from VASP.

Cell and atoms, written as Quantum ESPRESSO input:
```
&SYSTEM
  ibrav = 0, nat = 36, ntyp = 6
/
ATOMIC_SPECIES
Ni 58.69 Ni.upf
F 19.00 F.upf
Na 22.99 Na.upf
O 16.00 O.upf
Li 6.94 Li.upf
P 30.97 P.upf
CELL_PARAMETERS angstrom
5.0071 -0.0126 0.0000
-0.0478 6.7352 0.0000
0.0000 0.0000 11.1464
ATOMIC_POSITIONS angstrom
Ni 3.6195 6.5870 7.5053
Ni 3.8435 0.1294 1.9321
Ni 1.3399 0.1357 3.6411
Ni 1.1159 6.5932 9.2142
F 0.1294 5.2980 7.9488
F 2.3264 1.4310 2.3756
F 4.8299 1.4247 3.1976
F 2.6330 5.2917 8.7707
Na 3.7265 3.4162 7.4104
Na 3.7365 3.3002 1.8372
Na 1.2329 3.3065 3.7359
Na 1.2229 3.4224 9.3091
O 1.3055 3.0696 6.9631
O 1.1504 3.6593 1.3899
O 3.6539 3.6530 4.1833
O 3.8090 3.0633 9.7565
O 4.3141 0.6407 9.2389
O 3.1488 6.0757 3.6657
O 0.6452 6.0820 1.9074
O 1.8106 0.6469 7.4806
O 4.5955 1.2908 6.3996
O 2.8673 5.4255 0.8265
O 0.3638 5.4318 4.7468
O 2.0920 1.2971 10.3199
O 1.7781 1.4474 5.0964
O 0.6778 5.2816 10.6697
O 3.1813 5.2752 6.0499
O 4.2816 1.4411 0.4767
Li 1.3009 5.0145 6.4862
Li 1.1549 1.7144 0.9130
Li 3.6585 1.7081 4.6602
Li 3.8044 5.0082 10.2333
P 3.6164 1.6166 10.2358
P 3.8465 5.0998 4.6626
P 1.3430 5.1061 0.9105
P 1.1128 1.6229 6.4837
```

Summary:
- E_form (uncorrected): -2.4300 eV/atom
- DOS(E_F): 0.00 states/eV per cell
- Energy: -83.5 eV/f.u.